Record 1
Density functional theory data (PBE) for a relaxed structure of La3Tb6DyY2.

Cell lengths 6.252, 10.835, 11.946 Å; angles 90.00, 100.06, 90.00 degrees
Space group C2/m (No. 12)
Symmetry-distinct sites (fractional):
La 0.000 0.000 0.000 (multiplicity 2)
La 0.000 0.333 0.000 (multiplicity 4)
Tb 0.248 0.334 0.745 (multiplicity 8)
Tb 0.249 0.000 0.745 (multiplicity 4)
Dy 0.000 0.500 0.500 (multiplicity 2)
Y 0.000 0.167 0.500 (multiplicity 4)

Properties
volume = 796.8 Å³/cell


Record 2
Density functional theory data (PBE) for a relaxed structure of La2Tb6DyY.

Cell lengths 9.042, 15.114, 9.890 Å; angles 90.00, 99.91, 90.00 degrees
Space group C2/c (No. 15)
Symmetry-distinct sites (fractional):
La 0.244 0.052 0.042 (multiplicity 8)
Tb 0.068 0.192 0.443 (multiplicity 8)
Tb 0.103 0.396 0.620 (multiplicity 8)
Tb 0.198 0.222 0.811 (multiplicity 8)
Dy 0.000 0.405 0.250 (multiplicity 4)
Y 0.000 0.014 0.750 (multiplicity 4)

Properties
volume = 1331.3 Å³/cell


Record 3
Density functional theory data (PBE) for a relaxed structure of LaTbDy2Y2.

Cell lengths 6.574, 17.975, 3.404 Å; angles 90.00, 90.00, 90.00 degrees
Space group Pnnm (No. 58)
Symmetry-distinct sites (fractional):
La 0.000 0.000 0.000 (multiplicity 2)
Tb 0.000 0.500 0.000 (multiplicity 2)
Dy 0.217 0.353 0.500 (multiplicity 4)
Y 0.220 0.187 0.000 (multiplicity 4)

Properties
volume = 402.3 Å³/cell


| no. | uncorrected energy (Ry per atom) |
| --- | --- |
| 1 | -0.3665 |
| 2 | -0.3493 |
| 3 | -0.3687 |